The following is a SCAN calculation of a crystal of TePtSe2 relaxed with PBEsol, from Alexandria.

Lattice parameters (Å, degrees): 4.765 4.765 3.415 90.00 90.00 90.00
Space group P4/mmm (No. 123)
One atom of each set of equivalent atoms:
Te 0.000 0.000 0.000
Pt 0.500 0.500 0.000
Se 0.000 0.500 0.500

Output
- crystal system = tetragonal
- VASP energy (eV for the cell shown) = -145.195
- uncorrected formation energy (eV per atom) = 0.60
- volume (Å³/cell) = 78
- size of the total moment (μB per atom) = 0.00


The following is a SCAN calculation of a crystal of CdBr2N relaxed with PBEsol, from Alexandria.

Lattice parameters (Å, degrees): 5.6407 5.6407 21.4027 90.00 90.00 120.00
Space group R-3m (No. 166, hexagonal axes)
One atom of each set of equivalent atoms:
Cd 0.0000 0.0000 0.0000
Br 0.0000 0.0000 0.1114
N 0.0000 0.0000 0.5000

Output
- crystal system = trigonal
- VASP energy (eV for the cell shown) = -226.313
- uncorrected formation energy (eV per atom) = 0.80
- volume (Å³/cell) = 590
- size of the total moment (μB per atom) = 0.74